LiLa2HgC | GGA-PBE | optimized geometry

Lattice parameters (Å, degrees): 5.2656 5.2656 4.3143 90.00 90.00 90.00
With the nearest neighbours (Å) after each atom.
Sites, in units of the cell vectors:
1 Li 0.0000 0.0000 0.0000  2 C 2.16
2 La 0.0000 0.5000 0.5000  2 C 2.63
3 La 0.5000 0.0000 0.5000  2 C 2.63
4 Hg 0.5000 0.5000 0.0000  8 La 3.40, 4 Li 3.72
5 C 0.0000 0.0000 0.5000  2 Li 2.16

Values from the calculation:
Total magnetization: 0.00 μB/f.u.
E: -21.953 eV/f.u.